Crystalline Sr2MoO5 at its relaxed geometry. Source: Alexandria, functional PBE+U.

Volume: 547.8 Å³ per cell
Offset from the most stable computed form: 0.000 eV/atom
Crystal system: triclinic

Lattice parameters (Å, degrees): 4.1093 11.2864 11.8111 90.00 89.97 89.88
Last column: magnetic moment on the atom in μB.
Fractional coordinates of all 32 atoms:
Sr (0.2442, 0.6096, 0.0673)  0.00
Sr (0.7483, 0.3906, 0.9330)  0.00
Sr (0.7676, 0.8906, 0.5673)  0.00
Sr (0.2582, 0.1094, 0.4326)  0.00
Sr (0.2473, 0.1015, 0.7833)  0.00
Sr (0.7584, 0.8985, 0.2166)  0.00
Sr (0.7591, 0.3986, 0.2835)  0.00
Sr (0.2421, 0.6012, 0.7166)  0.00
Mo (0.6802, 0.8293, 0.8803)  0.00
Mo (0.1907, 0.1708, 0.1195)  0.00
Mo (0.3266, 0.6709, 0.3805)  0.00
Mo (0.6815, 0.3290, 0.6196)  0.00
O (0.2434, 0.8240, 0.8785)  0.00
O (0.7536, 0.1765, 0.1215)  0.00
O (0.7635, 0.6764, 0.3785)  0.00
O (0.2446, 0.3231, 0.6214)  0.00
O (0.2597, 0.5142, 0.3582)  0.00
O (0.7463, 0.4858, 0.6419)  0.00
O (0.7491, 0.9859, 0.8577)  0.00
O (0.2587, 0.0141, 0.1421)  0.00
O (0.2520, 0.7291, 0.5217)  0.00
O (0.7576, 0.2707, 0.4784)  0.00
O (0.7552, 0.7710, 0.0215)  0.00
O (0.2638, 0.2290, 0.9782)  0.00
O (0.7518, 0.7374, 0.7541)  0.00
O (0.2625, 0.2626, 0.2458)  0.00
O (0.2539, 0.7626, 0.2542)  0.00
O (0.7537, 0.2376, 0.7461)  0.00
O (0.2655, 0.0036, 0.6106)  0.07
O (0.7596, 0.9964, 0.3894)  0.07
O (0.7494, 0.4967, 0.1108)  0.07
O (0.2516, 0.5035, 0.8894)  0.07